Record 1
Pm6NdY5 | PBE | optimized geometry

Lattice parameters (Å, degrees): 5.1292 10.2086 9.5729 122.22 105.54 90.00
Sites, in units of the cell vectors:
Pm 0.1667 0.4174 0.3334
Pm 0.8333 0.0840 0.6666
Pm 0.5000 0.2511 0.0000
Pm 0.1667 0.9160 0.3334
Pm 0.8333 0.5826 0.6666
Pm 0.5000 0.7489 0.0000
Y 0.0000 0.5000 0.0000
Y 0.3327 0.8328 0.6656
Y 0.6673 0.1672 0.3344
Y 0.3334 0.3333 0.6666
Y 0.6666 0.6667 0.3334
Nd 0.0000 0.0000 0.0000

Output
- DFT total energy: -5.45 eV per atom
- ΔE to the lowest computed polymorph: 0.003 eV per atom

---

Record 2
PmNd3Y5 | PBE | optimized geometry

Lattice parameters (Å, degrees): 7.1247 9.8874 9.8874 120.00 90.00 90.00
Sites, in units of the cell vectors:
Nd 0.7500 0.6461 0.6461
Nd 0.7500 0.3539 0.0000
Nd 0.2500 0.3539 0.3539
Nd 0.7500 0.0000 0.3539
Nd 0.2500 0.6461 0.0000
Nd 0.2500 0.0000 0.6461
Y 0.7500 0.3162 0.3162
Y 0.0000 0.6667 0.3333
Y 0.5000 0.3333 0.6667
Y 0.5000 0.6667 0.3333
Y 0.2500 0.0000 0.3162
Y 0.2500 0.3162 0.0000
Y 0.2500 0.6838 0.6838
Y 0.7500 0.6838 0.0000
Y 0.0000 0.3333 0.6667
Y 0.7500 0.0000 0.6838
Pm 0.5000 0.0000 0.0000
Pm 0.0000 0.0000 0.0000

Output
- DFT total energy: -5.65 eV per atom

---

Record 3
Pm2Nd3Y2 | PBE | optimized geometry

Lattice parameters (Å, degrees): 3.5612 8.6840 9.0965 118.25 101.29 90.00
Sites, in units of the cell vectors:
Pm 0.5652 0.9113 0.1303
Pm 0.4348 0.0887 0.8697
Nd 0.2125 0.7977 0.4251
Nd 0.7875 0.2023 0.5749
Nd 0.0000 0.5000 0.0000
Y 0.1469 0.3310 0.2939
Y 0.8531 0.6690 0.7061

Output
- DFT total energy: -5.14 eV per atom
- ΔE to the lowest computed polymorph: 0.058 eV per atom

---

Record 4
Pm4NdY10 | PBE | optimized geometry

Lattice parameters (Å, degrees): 10.8545 8.8751 8.8751 68.04 52.30 52.30
Sites, in units of the cell vectors:
Pm 0.7801 0.7707 0.6690
Pm 0.5509 0.6690 0.2293
Pm 0.4491 0.3310 0.7707
Pm 0.2199 0.2293 0.3310
Y 0.0473 0.9083 0.6593
Y 0.6149 0.0917 0.3407
Y 0.0445 0.3407 0.9083
Y 0.2500 0.5000 0.5000
Y 0.9527 0.0917 0.3407
Y 0.3851 0.9083 0.6593
Y 0.9555 0.6593 0.0917
Y 0.7500 0.5000 0.5000
Y 0.7066 0.3407 0.9083
Y 0.2934 0.6593 0.0917
Nd 0.0000 0.0000 0.0000

Output
- DFT total energy: -5.44 eV per atom

---

Record 5
Pm12NdY2 | PBE | optimized geometry

Lattice parameters (Å, degrees): 6.5374 6.5374 25.5212 90.00 90.00 90.00
Sites, in units of the cell vectors:
Pm 0.6828 0.1828 0.1161
Pm 0.1678 0.3322 0.4381
Pm 0.6828 0.8172 0.8839
Pm 0.8172 0.6828 0.1161
Pm 0.8172 0.3172 0.8839
Pm 0.3172 0.8172 0.1161
Pm 0.0000 0.0000 0.6615
Pm 0.1828 0.3172 0.1161
Pm 0.3322 0.8322 0.4381
Pm 0.0000 0.0000 0.3385
Pm 0.1828 0.6828 0.8839
Pm 0.8322 0.6678 0.4381
Pm 0.0000 0.0000 0.2165
Pm 0.6678 0.1678 0.4381
Pm 0.3322 0.1678 0.5619
Pm 0.8322 0.3322 0.5619
Pm 0.5000 0.5000 0.3385
Pm 0.5000 0.5000 0.7835
Pm 0.5000 0.5000 0.2165
Pm 0.1678 0.6678 0.5619
Pm 0.0000 0.0000 0.7835
Pm 0.5000 0.5000 0.6615
Pm 0.3172 0.1828 0.8839
Pm 0.6678 0.8322 0.5619
Y 0.0000 0.5000 0.7257
Y 0.0000 0.5000 0.2743
Y 0.5000 0.0000 0.2743
Y 0.5000 0.0000 0.7257
Nd 0.5000 0.0000 0.0000
Nd 0.0000 0.5000 0.0000

Output
- DFT total energy: -4.68 eV per atom

---

Record 6
PmNd2Y4 | PBE | optimized geometry

Lattice parameters (Å, degrees): 3.5833 8.8860 8.6884 119.20 101.89 90.03
Sites, in units of the cell vectors:
Y 0.3544 0.1560 0.7083
Y 0.7060 0.2927 0.4128
Y 0.2940 0.7073 0.5872
Y 0.6456 0.8440 0.2917
Nd 0.0682 0.4279 0.1377
Nd 0.9318 0.5721 0.8623
Pm 0.0000 0.0000 0.0000

Output
- DFT total energy: -5.70 eV per atom
- ΔE to the lowest computed polymorph: 0.000 eV per atom

---

Record 7
PmNd2Y9 | PBE | optimized geometry

Lattice parameters (Å, degrees): 5.0855 5.0855 15.2529 90.00 90.00 90.00
Sites, in units of the cell vectors:
Y 0.5000 0.0000 0.8338
Y 0.0000 0.5000 0.5000
Y 0.5000 0.0000 0.1662
Y 0.0000 0.5000 0.8338
Y 0.5000 0.5000 0.0000
Y 0.5000 0.5000 0.6670
Y 0.5000 0.5000 0.3330
Y 0.5000 0.0000 0.5000
Y 0.0000 0.5000 0.1662
Nd 0.0000 0.0000 0.6667
Nd 0.0000 0.0000 0.3333
Pm 0.0000 0.0000 0.0000

Output
- DFT total energy: -6.02 eV per atom

---

Record 8
Pm5Nd6Y | PBE | optimized geometry

Lattice parameters (Å, degrees): 5.1825 10.3478 9.6761 122.31 105.51 90.05
Sites, in units of the cell vectors:
Pm 0.0000 0.5000 0.0000
Pm 0.3335 0.8335 0.6670
Pm 0.6669 0.6670 0.3339
Pm 0.3331 0.3330 0.6661
Pm 0.6665 0.1665 0.3330
Y 0.0000 0.0000 0.0000
Nd 0.1665 0.9171 0.3331
Nd 0.8335 0.0829 0.6669
Nd 0.5001 0.2495 0.0000
Nd 0.4999 0.7505 0.0000
Nd 0.8334 0.5840 0.6669
Nd 0.1666 0.4160 0.3331

Output
- DFT total energy: -4.89 eV per atom

---

| no. | E_form (eV per atom) | V (Å³/atom) |
| --- | --- | --- |
| 1 | 0.014 | 33.5 |
| 2 | 0.056 | 33.5 |
| 3 | 0.106 | 34.5 |
| 4 | 0.457 | 35.7 |
| 5 | 0.300 | 36.4 |
| 6 | 0.037 | 33.5 |
| 7 | 0.022 | 32.9 |
| 8 | 0.013 | 34.7 |